# 1
Compound: BaCaAl2
Source: Alexandria
Functional: GGA-PBE
Structure: optimized geometry

Cell: 8.8924 8.8924 7.1811 Å, 51.75 51.75 90.00°
With the nearest neighbours (Å) after each atom.
Fractional positions:
Ca: 0.5000 0.5000 0.0000  4 Al 3.10, 2 Ba 3.47
Ca: 0.2500 0.7500 0.5000  4 Al 3.10, 2 Ba 3.47
Ba: 0.0000 0.0000 0.0000  4 Al 3.44, 2 Ca 3.47
Ba: 0.7500 0.2500 0.5000  4 Al 3.44, 2 Ca 3.47
Al: 0.5970 0.1250 0.2500  2 Ca 3.10, 2 Ba 3.44
Al: 0.1530 0.6250 0.2500  2 Ca 3.10, 2 Ba 3.44
Al: 0.3750 0.4030 0.7500  2 Ca 3.10, 2 Ba 3.44
Al: 0.8750 0.8470 0.7500  2 Ca 3.10, 2 Ba 3.44

Results
Distance to the lowest polymorph of the same formula, meV per atom: 496.0
Magnetization, μB/f.u.: 0.00
Energy relative to the elements, eV/f.u.: 1.24
Raw total energy, eV per cell: -20.3

***

# 2
Compound: TlMoAu
Source: Alexandria
Functional: GGA-PBE
Structure: optimized geometry

Cell: 7.0363 7.0373 2.9388 Å, 77.93 77.97 24.11°
With the nearest neighbours (Å) after each atom.
Fractional positions:
Au: 0.9858 0.9858 0.0142  4 Mo 2.84, 4 Au 2.94
Mo: 0.3420 0.3420 0.6580  4 Au 2.84, 4 Mo 2.94, 4 Tl 3.09
Tl: 0.6722 0.6722 0.3278  4 Tl 2.94, 4 Mo 3.09, 4 Au 3.26

Results
Distance to the lowest polymorph of the same formula, meV per atom: 0.0
Magnetization, μB/f.u.: 0.00
Energy relative to the elements, eV/f.u.: 1.60
Raw total energy, eV per cell: -14.9

***

- Which value of raw total energy does entry 1 give?
  -20.3 eV per cell

***

What did the first record say?
Compound: BaCaAl2
Source: Alexandria
Functional: GGA-PBE
Structure: optimized geometry

Cell: 8.8924 8.8924 7.1811 Å, 51.75 51.75 90.00°
With the nearest neighbours (Å) after each atom.
Fractional positions:
Ca: 0.5000 0.5000 0.0000  4 Al 3.10, 2 Ba 3.47
Ca: 0.2500 0.7500 0.5000  4 Al 3.10, 2 Ba 3.47
Ba: 0.0000 0.0000 0.0000  4 Al 3.44, 2 Ca 3.47
Ba: 0.7500 0.2500 0.5000  4 Al 3.44, 2 Ca 3.47
Al: 0.5970 0.1250 0.2500  2 Ca 3.10, 2 Ba 3.44
Al: 0.1530 0.6250 0.2500  2 Ca 3.10, 2 Ba 3.44
Al: 0.3750 0.4030 0.7500  2 Ca 3.10, 2 Ba 3.44
Al: 0.8750 0.8470 0.7500  2 Ca 3.10, 2 Ba 3.44

Results
Distance to the lowest polymorph of the same formula, meV per atom: 496.0
Magnetization, μB/f.u.: 0.00
Energy relative to the elements, eV/f.u.: 1.24
Raw total energy, eV per cell: -20.3

***

What did the first record say?
Compound: BaCaAl2
Source: Alexandria
Functional: GGA-PBE
Structure: optimized geometry

Cell: 8.8924 8.8924 7.1811 Å, 51.75 51.75 90.00°
With the nearest neighbours (Å) after each atom.
Fractional positions:
Ca: 0.5000 0.5000 0.0000  4 Al 3.10, 2 Ba 3.47
Ca: 0.2500 0.7500 0.5000  4 Al 3.10, 2 Ba 3.47
Ba: 0.0000 0.0000 0.0000  4 Al 3.44, 2 Ca 3.47
Ba: 0.7500 0.2500 0.5000  4 Al 3.44, 2 Ca 3.47
Al: 0.5970 0.1250 0.2500  2 Ca 3.10, 2 Ba 3.44
Al: 0.1530 0.6250 0.2500  2 Ca 3.10, 2 Ba 3.44
Al: 0.3750 0.4030 0.7500  2 Ca 3.10, 2 Ba 3.44
Al: 0.8750 0.8470 0.7500  2 Ca 3.10, 2 Ba 3.44

Results
Distance to the lowest polymorph of the same formula, meV per atom: 496.0
Magnetization, μB/f.u.: 0.00
Energy relative to the elements, eV/f.u.: 1.24
Raw total energy, eV per cell: -20.3